No. 1
# CoHg2Mo

A relaxed structure of CoHg2Mo (PBE-GGA, the Alexandria database). Values from VASP.

The mass density is 13.33 g cm⁻³. The spin magnetization comes out at 2.28 μB per formula unit. The space group is No. 71. The formation energy is 0.714 eV per atom. Its offset from the most stable computed form is 0.389 eV per atom.

Quantum ESPRESSO input file:
```
&SYSTEM
  ibrav = 0, nat = 4, ntyp = 3
/
ATOMIC_SPECIES
Hg 200.59 Hg.upf
Mo 95.94 Mo.upf
Co 58.93 Co.upf
CELL_PARAMETERS angstrom
-4.1803 -3.0546 1.7966
1.1609 -4.4366 3.0004
0.3764 5.4486 -0.4524
ATOMIC_POSITIONS angstrom
Hg -1.5706 -3.8966 2.4952
Hg -2.9586 -7.3401 4.7003
Mo 0.0138 -1.3668 2.4732
Co -2.6568 -0.6758 1.8714
```

***

No. 2
# Co2HgMo2

A relaxed structure of Co2HgMo2 (PBE-GGA, the Alexandria database). Values from VASP.

The mass density is 11.27 g cm⁻³. The spin magnetization comes out at 0.00 μB per formula unit. The space group is No. 127. The formation energy is 0.368 eV per atom. Its offset from the most stable computed form is 0.117 eV per atom.

Quantum ESPRESSO input file:
```
&SYSTEM
  ibrav = 0, nat = 10, ntyp = 3
/
ATOMIC_SPECIES
Co 58.93 Co.upf
Mo 95.94 Mo.upf
Hg 200.59 Hg.upf
CELL_PARAMETERS angstrom
7.4964 0.0000 0.0000
0.0000 7.4964 0.0000
0.0000 0.0000 2.6755
ATOMIC_POSITIONS angstrom
Co 1.2492 4.9974 1.3378
Co 4.9974 6.2472 1.3378
Co 2.4990 1.2492 1.3378
Co 6.2472 2.4990 1.3378
Mo 2.8311 6.5793 0.0000
Mo 0.9171 2.8311 0.0000
Mo 6.5793 4.6653 0.0000
Mo 4.6653 0.9171 0.0000
Hg 3.7482 3.7482 0.0000
Hg 0.0000 0.0000 0.0000
```

***

No. 3
# CoHg2Mo

A relaxed structure of CoHg2Mo (PBE-GGA, the Alexandria database). Values from VASP.

The mass density is 13.30 g cm⁻³. The spin magnetization comes out at 2.93 μB per formula unit. The space group is No. 139. The formation energy is 0.713 eV per atom. Its offset from the most stable computed form is 0.388 eV per atom.

Quantum ESPRESSO input file:
```
&SYSTEM
  ibrav = 0, nat = 4, ntyp = 3
/
ATOMIC_SPECIES
Hg 200.59 Hg.upf
Mo 95.94 Mo.upf
Co 58.93 Co.upf
CELL_PARAMETERS angstrom
-0.0091 -4.9136 -1.1433
0.4876 -2.7390 4.2085
-3.1227 3.7634 -1.2394
ATOMIC_POSITIONS angstrom
Hg 0.2392 -3.8263 1.5326
Hg 0.0000 0.0000 0.0000
Mo -1.1979 -1.4009 2.2508
Co -1.4463 -2.4882 -0.4251
```

***

Table of DOS(E_F) (states/eV/cell), in record order: 4.0; 5.9; 3.1